CdBiAsO after structural relaxation. Source: OQMD, functional GGA-PBE.

Computed properties:
As for the space group: P4/nmm (129). The density comes out at 8.5 g cm⁻³. For the polymorph energy (0 for the lowest one), the calculation gives 0.14 kcal/mol of atoms.

Geometry as POSCAR:
```
CdBiAsO
1.0
-0.1801 1.4604 -3.8930
3.7396 -1.6466 -0.7907
-4.0676 -7.9044 -2.7771
As Bi O Cd
2 2 2 2
Direct
0.5000 0.5000 0.6984
0.0000 0.0000 0.3016
0.5000 0.5000 0.1264
0.0000 0.0000 0.8736
0.0000 0.5000 0.0000
0.5000 0.0000 0.0000
0.5000 0.0000 0.5000
0.0000 0.5000 0.5000
```